Computed, not measured: a relaxed structure of TiCdTcTe2 at the PBE level of DFT.

POSCAR file:
```
TiCdTcTe2
1.0
5.275 0.000 0.000
0.000 5.275 0.000
0.000 0.000 5.276
Ti Cd Tc Te
1 1 1 2
Cartesian
0.000 0.000 0.000 Ti
0.000 0.000 2.638 Cd
2.638 2.638 2.638 Tc
0.000 2.638 0.000 Te
2.638 0.000 0.000 Te
```

Calculated values
* space-group type: P4/mmm (123)
* electronic total energy: -4.22 eV/atom
* formation energy without anion corrections: 4.38 eV/f.u.

Computed, not measured: a relaxed structure of YCdTcTe2 at the PBE level of DFT.

POSCAR file:
```
YCdTcTe2
1.0
5.812 0.000 0.000
0.000 5.812 0.000
0.000 0.000 5.788
Y Cd Tc Te
1 1 1 2
Cartesian
0.000 0.000 0.000 Y
0.000 0.000 2.894 Cd
2.906 2.906 2.894 Tc
0.000 2.906 0.000 Te
2.906 0.000 0.000 Te
```

Calculated values
* space-group type: P4/mmm (123)
* electronic total energy: -3.99 eV/atom
* formation energy without anion corrections: 4.07 eV/f.u.

Computed, not measured: a relaxed structure of Th6CdTc2 at the PBE level of DFT.

POSCAR file:
```
Th6CdTc2
1.0
-4.742 4.856 5.472
4.742 -4.856 5.472
4.742 4.856 -5.472
Th Cd Tc
12 2 4
Cartesian
4.742 2.877 -2.871 Th
2.805 1.764 0.000 Th
6.679 1.764 0.000 Th
1.839 4.856 -1.837 Th
2.902 0.000 3.635 Th
0.000 1.979 2.601 Th
4.742 2.877 2.871 Th
1.839 4.856 1.837 Th
2.902 0.000 7.309 Th
-1.937 3.092 5.472 Th
1.937 3.092 5.472 Th
0.000 1.979 8.343 Th
0.000 0.000 0.000 Cd
0.000 0.000 5.472 Cd
4.742 0.000 1.511 Tc
0.000 3.176 0.000 Tc
0.000 6.535 0.000 Tc
0.000 4.856 3.961 Tc
```

Calculated values
* energy of formation: -0.103 eV per atom
* space-group type: Immm (71)
* electronic total energy: -7.46 eV/atom

Computed, not measured: a relaxed structure of ThCdTc at the PBE level of DFT.

POSCAR file:
```
ThCdTc
1.0
2.008 -9.104 0.000
2.008 9.104 0.000
0.000 0.000 3.858
Th Cd Tc
2 2 2
Cartesian
2.008 7.435 2.893 Th
2.008 -7.435 0.964 Th
2.008 3.837 2.893 Cd
2.008 -3.837 0.964 Cd
2.008 0.952 2.893 Tc
2.008 -0.952 0.964 Tc
```

Calculated values
* energy of formation: -0.143 eV per atom
* distance to the lowest polymorph of the same formula: 0 meV per atom
* space-group type: Cmcm (63)
* electronic total energy: -6.38 eV/atom

Computed, not measured: a relaxed structure of ThCdTc at the PBE level of DFT.

POSCAR file:
```
ThCdTc
1.0
3.866 0.000 0.000
0.000 3.866 0.000
0.000 0.000 10.124
Th Cd Tc
2 2 2
Cartesian
0.967 0.967 2.017 Th
2.900 2.900 8.107 Th
0.967 2.900 5.062 Cd
2.900 0.967 5.062 Cd
0.967 0.967 9.670 Tc
2.900 2.900 0.455 Tc
```

Calculated values
* energy of formation: 0.226 eV per atom
* distance to the lowest polymorph of the same formula: 369 meV per atom
* space-group type: P4/nmm (129)
* electronic total energy: -6.01 eV/atom

Computed, not measured: a relaxed structure of Th6Cd2Tc at the PBE level of DFT.

POSCAR file:
```
Th6Cd2Tc
1.0
8.880 0.000 0.000
-4.440 7.690 0.000
0.000 0.000 3.788
Th Cd Tc
6 2 1
Cartesian
-1.087 1.882 0.000 Th
-2.700 4.677 1.894 Th
2.173 0.000 0.000 Th
1.739 3.013 1.894 Th
5.401 0.000 1.894 Th
3.353 5.808 0.000 Th
0.000 5.127 0.000 Cd
4.440 2.563 0.000 Cd
0.000 0.000 1.894 Tc
```

Calculated values
* energy of formation: -0.105 eV per atom
* space-group type: P-62m (189)
* electronic total energy: -6.41 eV/atom

Computed, not measured: a relaxed structure of Ti2CdTc2 at the PBE level of DFT.

POSCAR file:
```
Ti2CdTc2
1.0
7.318 0.000 0.000
0.000 7.318 0.000
0.000 0.000 3.131
Ti Cd Tc
4 2 4
Cartesian
1.107 2.552 0.000 Ti
2.552 6.211 0.000 Ti
4.766 1.107 0.000 Ti
6.211 4.766 0.000 Ti
0.000 0.000 1.565 Cd
3.659 3.659 1.565 Cd
1.045 4.703 1.565 Tc
2.614 1.045 1.565 Tc
4.703 6.273 1.565 Tc
6.273 2.614 1.565 Tc
```

Calculated values
* energy of formation: -0.013 eV per atom
* space-group type: P4/mbm (127)
* electronic total energy: -7.50 eV/atom

Computed, not measured: a relaxed structure of TiCdTc2 at the PBE level of DFT.

POSCAR file:
```
TiCdTc2
1.0
-1.985 1.985 9.388
1.985 -1.985 9.388
1.985 1.985 -9.388
Ti Cd Tc
2 2 4
Cartesian
0.000 0.000 0.000 Ti
0.000 1.985 4.694 Ti
1.985 0.000 4.694 Cd
0.000 0.000 9.388 Cd
2.977 0.674 -2.347 Tc
0.674 0.992 2.347 Tc
-0.992 1.311 7.041 Tc
1.311 0.992 11.735 Tc
```

Calculated values
* energy of formation: 0.588 eV per atom
* space-group type: I-42d (122)
* electronic total energy: -6.80 eV/atom